Entry 1:
The following is a PBE-GGA calculation of a relaxed ReSe2Br crystal, from Alexandria.

The structure in POSCAR format:
```
ReSe2Br
1.0
-4.693 1.267 -0.784
0.186 -4.324 2.348
-0.842 1.042 3.171
Br Se Re
1 2 1
Direct
0.500 0.000 0.500
0.500 0.500 0.000
0.000 0.000 0.000
0.000 0.500 0.500
```

Summary:
formation energy without anion corrections	1.08	eV per atom
total energy	-4.1895	eV per atom
DOS(E_F)	4.321	states/eV/f.u.
total magnetic moment	0.001	μB/cell
symmetry	C2/m

---

Entry 2:
The following is a PBE-GGA calculation of a relaxed In2HgI crystal, from Alexandria.

The structure in POSCAR format:
```
In2HgI
1.0
0.000 4.026 4.026
4.026 0.000 4.026
4.026 4.026 0.000
Hg In I
1 2 1
Direct
0.500 0.500 0.500
0.750 0.750 0.750
0.250 0.250 0.250
0.000 0.000 0.000
```

Summary:
formation energy without anion corrections	-0.04	eV per atom
total energy	-1.8680	eV per atom
DOS(E_F)	3.950	states/eV/f.u.
total magnetic moment	0.000	μB/cell
symmetry	Fm-3m

---

Entry 3:
The following is a PBE-GGA calculation of a relaxed SnSb2IF crystal, from Alexandria.

The structure in POSCAR format:
```
SnSb2IF
1.0
4.744 0.000 0.000
0.000 4.744 0.000
0.000 0.000 6.321
Sb F Sn I
2 1 1 1
Direct
0.500 0.000 0.000
0.000 0.500 0.000
0.000 0.000 0.000
0.500 0.500 0.500
0.000 0.000 0.500
```

Summary:
formation energy without anion corrections	-0.14	eV per atom
total energy	-3.2761	eV per atom
DOS(E_F)	3.574	states/eV/f.u.
total magnetic moment	0.000	μB/cell
symmetry	P4/mmm

---

Entry 4:
The following is a PBE-GGA calculation of a relaxed KFe3Cl8 crystal, from Alexandria.

The structure in POSCAR format:
```
KFe3Cl8
1.0
-3.615 4.382 -2.641
-5.731 -0.009 2.531
3.460 5.730 6.280
Fe Cl K
3 8 1
Direct
0.376 0.376 0.711
0.000 0.000 0.500
0.624 0.624 0.289
0.767 0.767 0.489
0.236 0.752 0.305
0.248 0.764 0.695
0.752 0.236 0.305
0.695 0.695 0.070
0.305 0.305 0.930
0.233 0.233 0.511
0.764 0.248 0.695
0.000 0.000 0.000
```

Summary:
formation energy without anion corrections	-0.95	eV per atom
total energy	-4.3890	eV per atom
DOS(E_F)	14.776	states/eV/f.u.
total magnetic moment	4.736	μB/cell
symmetry	C2/m

---

Entry 5:
The following is a PBE-GGA calculation of a relaxed SrYHfNi2 crystal, from Alexandria.

The structure in POSCAR format:
```
SrYHfNi2
1.0
-2.684 3.466 2.369
0.124 -2.927 4.424
4.197 2.293 1.400
Ni Sr Hf Y
2 1 1 1
Direct
0.000 0.000 0.500
0.500 0.000 0.000
0.500 0.500 0.500
0.000 0.500 0.000
0.000 0.000 0.000
```

Summary:
ΔH_f (0 K)	958	meV per atom
total energy	-4.9746	eV per atom
DOS(E_F)	3.407	states/eV/f.u.
total magnetic moment	0.000	μB/cell
symmetry	P4/mmm

---

Entry 6:
The following is a PBE-GGA calculation of a relaxed Hf2ScV crystal, from Alexandria.

The structure in POSCAR format:
```
Hf2ScV
1.0
-1.373 -2.606 0.735
1.457 -2.638 -0.364
3.801 -1.002 9.817
Sc Hf V
1 2 1
Direct
0.500 0.500 0.500
0.083 0.083 0.750
0.917 0.917 0.250
0.000 0.000 0.000
```

Summary:
ΔH_f (0 K)	483	meV per atom
total energy	-8.3564	eV per atom
DOS(E_F)	6.041	states/eV/f.u.
total magnetic moment	0.000	μB/cell
symmetry	R-3m

---

What is the total energy in the first record? -4.1895 eV per atom

---

Copy entry 3 word for word.
The following is a PBE-GGA calculation of a relaxed SnSb2IF crystal, from Alexandria.

The structure in POSCAR format:
```
SnSb2IF
1.0
4.744 0.000 0.000
0.000 4.744 0.000
0.000 0.000 6.321
Sb F Sn I
2 1 1 1
Direct
0.500 0.000 0.000
0.000 0.500 0.000
0.000 0.000 0.000
0.500 0.500 0.500
0.000 0.000 0.500
```

Summary:
formation energy without anion corrections	-0.14	eV per atom
total energy	-3.2761	eV per atom
DOS(E_F)	3.574	states/eV/f.u.
total magnetic moment	0.000	μB/cell
symmetry	P4/mmm

---

Which formula does entry 1 have? ReSe2Br

---

Among the records above, which one has the highest DOS(E_F)? KFe3Cl8